[1]
VASP calculation (PBE) on a relaxed YBeAs2 crystal.

abc: 10.840 3.899 3.816
angles: 90.00 108.84 90.00
Atoms (fractional coordinates):
Y (0.000, 0.000, 0.000)
Y (0.500, 0.500, 0.000)
Be (0.246, 0.500, 0.259)
Be (0.746, 0.000, 0.259)
As (0.127, 0.500, 0.646)
As (0.354, 0.000, 0.300)
As (0.627, 0.000, 0.646)
As (0.854, 0.500, 0.300)

Summary:
Crystal system: monoclinic
Uncorrected energy, Ha/atom: -0.203
ΔH_f (0 K), eV/atom: -0.655
Density of states at the Fermi level, states/eV/cell: 2.350
Volume, Å³ per atom: 19.1

=====

[2]
VASP calculation (PBE) on a relaxed YBe2As crystal.

abc: 6.478 6.478 6.478
angles: 90.00 90.00 90.00
Atoms (fractional coordinates):
Y (0.000, 0.000, 0.000)
Y (0.000, 0.500, 0.500)
Y (0.500, 0.000, 0.500)
Y (0.500, 0.500, 0.000)
Be (0.000, 0.000, 0.500)
Be (0.000, 0.500, 0.000)
Be (0.250, 0.250, 0.250)
Be (0.250, 0.750, 0.750)
Be (0.500, 0.000, 0.000)
Be (0.500, 0.500, 0.500)
Be (0.750, 0.250, 0.750)
Be (0.750, 0.750, 0.250)
As (0.250, 0.250, 0.750)
As (0.250, 0.750, 0.250)
As (0.750, 0.250, 0.250)
As (0.750, 0.750, 0.750)

Summary:
Crystal system: cubic
Uncorrected energy, Ha/atom: -0.162
ΔH_f (0 K), eV/atom: 0.239
Density of states at the Fermi level, states/eV/cell: 7.464
Volume, Å³ per atom: 17.0

=====

[3]
VASP calculation (PBE) on a relaxed YBe2As crystal.

abc: 7.004 3.683 5.372
angles: 90.00 110.20 90.00
Atoms (fractional coordinates):
Y (0.000, 0.000, 0.000)
Y (0.500, 0.500, 0.000)
Be (0.246, 0.500, 0.355)
Be (0.447, 0.000, 0.392)
Be (0.746, 0.000, 0.355)
Be (0.947, 0.500, 0.392)
As (0.213, 0.000, 0.603)
As (0.713, 0.500, 0.603)

Summary:
Crystal system: monoclinic
Uncorrected energy, Ha/atom: -0.183
ΔH_f (0 K), eV/atom: -0.347
Density of states at the Fermi level, states/eV/cell: 1.409
Volume, Å³ per atom: 16.3

=====

[4]
VASP calculation (PBE) on a relaxed YBe2As crystal.

abc: 3.969 3.791 4.645
angles: 90.00 90.17 90.00
Atoms (fractional coordinates):
Y (0.000, 0.000, 0.000)
Be (0.500, 0.000, 0.488)
Be (0.504, 0.500, 0.261)
As (0.498, 0.500, 0.767)

Summary:
Crystal system: monoclinic
Uncorrected energy, Ha/atom: -0.178
ΔH_f (0 K), eV/atom: -0.202
Density of states at the Fermi level, states/eV/cell: 1.966
Volume, Å³ per atom: 17.5